# Hf, relaxed, DFT GGA-PBE
data_Hf
_chemical_formula_sum 'Hf8'
_space_group_name_H-M_alt 'P 1'
_space_group_IT_number 1
_space_group_name_Hall 'P 1'
_cell_length_a 6.509
_cell_length_b 6.509
_cell_length_c 6.509
_cell_angle_alpha 90.00
_cell_angle_beta 90.00
_cell_angle_gamma 90.00
loop_
_atom_site_label
_atom_site_type_symbol
_atom_site_fract_x
_atom_site_fract_y
_atom_site_fract_z
Hf1 Hf 0.250 0.250 0.250
Hf2 Hf 0.750 0.250 0.750
Hf3 Hf 0.500 0.000 0.500
Hf4 Hf 0.000 0.500 0.500
Hf5 Hf 0.500 0.500 0.000
Hf6 Hf 0.750 0.750 0.250
Hf7 Hf 0.000 0.000 0.000
Hf8 Hf 0.250 0.750 0.750
# Relative energy among the computed polymorphs in meV/atom: 2683.2
# Spin magnetization in μB/atom: 0.002
# Symmetry: No. 227
# ΔE_f in meV per atom: 2683
# Uncorrected energy in eV per atom: -7.2702

# Hf, relaxed, DFT GGA-PBE
data_Hf
_chemical_formula_sum 'Hf1'
_space_group_name_H-M_alt 'P 1'
_space_group_IT_number 1
_space_group_name_Hall 'P 1'
_cell_length_a 2.988
_cell_length_b 2.988
_cell_length_c 3.004
_cell_angle_alpha 90.00
_cell_angle_beta 90.00
_cell_angle_gamma 120.00
loop_
_atom_site_label
_atom_site_type_symbol
_atom_site_fract_x
_atom_site_fract_y
_atom_site_fract_z
Hf1 Hf 0.000 0.000 0.000
# Relative energy among the computed polymorphs in meV/atom: 470.2
# Spin magnetization in μB/atom: 0.000
# Symmetry: No. 191
# ΔE_f in meV per atom: 470
# Uncorrected energy in eV per atom: -9.4832

# Hf, relaxed, DFT GGA-PBE
data_Hf
_chemical_formula_sum 'Hf1'
_space_group_name_H-M_alt 'P 1'
_space_group_IT_number 1
_space_group_name_Hall 'P 1'
_cell_length_a 3.161
_cell_length_b 3.161
_cell_length_c 3.161
_cell_angle_alpha 60.00
_cell_angle_beta 60.00
_cell_angle_gamma 60.00
loop_
_atom_site_label
_atom_site_type_symbol
_atom_site_fract_x
_atom_site_fract_y
_atom_site_fract_z
Hf1 Hf 0.000 0.000 0.000
# Relative energy among the computed polymorphs in meV/atom: 69.1
# Spin magnetization in μB/atom: 0.000
# Symmetry: No. 225
# ΔE_f in meV per atom: 69
# Uncorrected energy in eV per atom: -9.8843

# Hf, relaxed, DFT GGA-PBE
data_Hf
_chemical_formula_sum 'Hf1'
_space_group_name_H-M_alt 'P 1'
_space_group_IT_number 1
_space_group_name_Hall 'P 1'
_cell_length_a 2.896
_cell_length_b 2.896
_cell_length_c 2.896
_cell_angle_alpha 90.00
_cell_angle_beta 90.00
_cell_angle_gamma 90.00
loop_
_atom_site_label
_atom_site_type_symbol
_atom_site_fract_x
_atom_site_fract_y
_atom_site_fract_z
Hf1 Hf 0.000 0.000 0.000
# Relative energy among the computed polymorphs in meV/atom: 1072.6
# Spin magnetization in μB/atom: 0.000
# Symmetry: No. 221
# ΔE_f in meV per atom: 1073
# Uncorrected energy in eV per atom: -8.8809

# Hf, relaxed, DFT GGA-PBE
data_Hf
_chemical_formula_sum 'Hf16'
_space_group_name_H-M_alt 'P 1'
_space_group_IT_number 1
_space_group_name_Hall 'P 1'
_cell_length_a 11.074
_cell_length_b 11.074
_cell_length_c 3.067
_cell_angle_alpha 90.00
_cell_angle_beta 90.00
_cell_angle_gamma 90.00
loop_
_atom_site_label
_atom_site_type_symbol
_atom_site_fract_x
_atom_site_fract_y
_atom_site_fract_z
Hf1 Hf 0.405 0.329 0.000
Hf2 Hf 0.905 0.829 0.500
Hf3 Hf 0.093 0.645 0.500
Hf4 Hf 0.645 0.907 0.500
Hf5 Hf 0.171 0.905 0.500
Hf6 Hf 0.907 0.355 0.500
Hf7 Hf 0.595 0.671 0.000
Hf8 Hf 0.355 0.093 0.500
Hf9 Hf 0.407 0.855 0.000
Hf10 Hf 0.593 0.145 0.000
Hf11 Hf 0.671 0.405 0.000
Hf12 Hf 0.829 0.095 0.500
Hf13 Hf 0.095 0.171 0.500
Hf14 Hf 0.329 0.595 0.000
Hf15 Hf 0.855 0.593 0.000
Hf16 Hf 0.145 0.407 0.000
# Relative energy among the computed polymorphs in meV/atom: 347.6
# Spin magnetization in μB/atom: 0.000
# Symmetry: No. 87
# ΔE_f in meV per atom: 348
# Uncorrected energy in eV per atom: -9.6058

# Hf, relaxed, DFT GGA-PBE
data_Hf
_chemical_formula_sum 'Hf4'
_space_group_name_H-M_alt 'P 1'
_space_group_IT_number 1
_space_group_name_Hall 'P 1'
_cell_length_a 5.698
_cell_length_b 5.698
_cell_length_c 2.983
_cell_angle_alpha 90.00
_cell_angle_beta 90.00
_cell_angle_gamma 90.00
loop_
_atom_site_label
_atom_site_type_symbol
_atom_site_fract_x
_atom_site_fract_y
_atom_site_fract_z
Hf1 Hf 0.179 0.679 0.000
Hf2 Hf 0.679 0.821 0.000
Hf3 Hf 0.821 0.321 0.000
Hf4 Hf 0.321 0.179 0.000
# Relative energy among the computed polymorphs in meV/atom: 703.4
# Spin magnetization in μB/atom: 0.000
# Symmetry: No. 127
# ΔE_f in meV per atom: 703
# Uncorrected energy in eV per atom: -9.2501

# Hf, relaxed, DFT GGA-PBE
data_Hf
_chemical_formula_sum 'Hf6'
_space_group_name_H-M_alt 'P 1'
_space_group_IT_number 1
_space_group_name_Hall 'P 1'
_cell_length_a 3.183
_cell_length_b 3.183
_cell_length_c 15.357
_cell_angle_alpha 90.00
_cell_angle_beta 90.00
_cell_angle_gamma 120.00
loop_
_atom_site_label
_atom_site_type_symbol
_atom_site_fract_x
_atom_site_fract_y
_atom_site_fract_z
Hf1 Hf 0.000 0.000 0.250
Hf2 Hf 0.667 0.333 0.083
Hf3 Hf 0.667 0.333 0.417
Hf4 Hf 0.000 0.000 0.750
Hf5 Hf 0.333 0.667 0.583
Hf6 Hf 0.333 0.667 0.917
# Relative energy among the computed polymorphs in meV/atom: 54.6
# Spin magnetization in μB/atom: 0.000
# Symmetry: No. 194
# ΔE_f in meV per atom: 55
# Uncorrected energy in eV per atom: -9.8988

# Hf, relaxed, DFT GGA-PBE
data_Hf
_chemical_formula_sum 'Hf8'
_space_group_name_H-M_alt 'P 1'
_space_group_IT_number 1
_space_group_name_Hall 'P 1'
_cell_length_a 3.109
_cell_length_b 11.688
_cell_length_c 4.910
_cell_angle_alpha 90.00
_cell_angle_beta 90.00
_cell_angle_gamma 90.00
loop_
_atom_site_label
_atom_site_type_symbol
_atom_site_fract_x
_atom_site_fract_y
_atom_site_fract_z
Hf1 Hf 0.500 0.678 0.750
Hf2 Hf 0.000 0.178 0.750
Hf3 Hf 0.000 0.434 0.750
Hf4 Hf 0.500 0.934 0.750
Hf5 Hf 0.000 0.566 0.250
Hf6 Hf 0.500 0.066 0.250
Hf7 Hf 0.500 0.322 0.250
Hf8 Hf 0.000 0.822 0.250
# Relative energy among the computed polymorphs in meV/atom: 42.9
# Spin magnetization in μB/atom: 0.000
# Symmetry: No. 63
# ΔE_f in meV per atom: 43
# Uncorrected energy in eV per atom: -9.9106